Material: Mn4Pb
Method: DFT, SCAN
State: single point on PBEsol structure

```
Mn4Pb
1.0
3.782 0.000 0.000
0.000 3.782 0.000
-1.891 -1.891 4.693
Mn Pb
4 1
Direct
0.750 0.250 0.500
0.250 0.750 0.500
0.620 0.620 0.241
0.380 0.380 0.759
0.000 0.000 0.000
```

Computed properties:
Space-group type = I4/mmm, No. 139
Crystal system = tetragonal
Energy of formation = 0.414 eV per atom

***

Material: Sc8Te
Method: DFT, SCAN
State: single point on PBEsol structure

```
Sc8Te
1.0
4.335 0.000 0.000
2.167 6.872 0.000
2.167 0.000 6.872
Sc Te
8 1
Direct
0.336 0.000 0.329
0.664 0.000 0.671
0.665 0.335 0.335
0.336 0.329 0.000
0.000 0.335 0.665
0.664 0.671 0.000
0.335 0.665 0.665
0.000 0.665 0.335
0.000 0.000 0.000
```

Computed properties:
Space-group type = I4/mmm, No. 139
Crystal system = tetragonal
Energy relative to the elements, uncorrected = -0.167 eV per atom

***

Material: Zr2AgCl
Method: DFT, SCAN
State: single point on PBEsol structure

```
Zr2AgCl
1.0
-0.878 0.740 2.898
3.217 -3.847 1.956
2.349 4.637 -2.149
Zr Ag Cl
2 1 1
Direct
0.722 0.722 0.445
0.278 0.278 0.555
0.500 0.000 0.000
0.000 0.500 0.000
```

Computed properties:
Energy relative to the lowest polymorph listed for this composition = 0.84 eV/f.u.
Space-group type = Immm, No. 71
Crystal system = orthorhombic
Energy relative to the elements, uncorrected = -0.198 eV per atom

***

Material: CaMnP2O7
Method: DFT, SCAN
State: single point on PBEsol structure

```
CaMnP2O7
1.0
-2.992 6.297 2.300
-0.109 -3.070 8.263
8.814 0.293 0.225
Ca Mn P O
4 4 8 28
Direct
0.145 0.055 0.884
0.355 0.555 0.616
0.645 0.445 0.384
0.855 0.945 0.116
0.385 0.939 0.623
0.615 0.061 0.377
0.115 0.439 0.877
0.885 0.561 0.123
0.189 0.262 0.227
0.437 0.748 0.968
0.689 0.238 0.727
0.937 0.752 0.468
0.311 0.762 0.273
0.063 0.248 0.532
0.563 0.252 0.032
0.811 0.738 0.773
0.366 0.788 0.115
0.597 0.384 0.638
0.097 0.116 0.138
0.331 0.606 0.880
0.634 0.212 0.885
0.394 0.904 0.377
0.669 0.394 0.120
0.379 0.893 0.864
0.160 0.770 0.546
0.606 0.096 0.623
0.894 0.596 0.877
0.913 0.244 0.796
0.587 0.744 0.704
0.866 0.712 0.615
0.106 0.404 0.123
0.903 0.884 0.862
0.087 0.756 0.204
0.621 0.107 0.136
0.660 0.730 0.046
0.340 0.270 0.954
0.169 0.106 0.620
0.879 0.607 0.364
0.121 0.393 0.636
0.403 0.616 0.362
0.413 0.256 0.296
0.831 0.894 0.380
0.840 0.230 0.454
0.134 0.288 0.385
```

Computed properties:
Energy relative to the lowest polymorph listed for this composition = 0.19 eV/f.u.
Space-group type = P2_1/c, No. 14
Crystal system = monoclinic
Energy relative to the elements, uncorrected = -2.732 eV per atom

***

Copy entry 3 word for word.
Material: Zr2AgCl
Method: DFT, SCAN
State: single point on PBEsol structure

```
Zr2AgCl
1.0
-0.878 0.740 2.898
3.217 -3.847 1.956
2.349 4.637 -2.149
Zr Ag Cl
2 1 1
Direct
0.722 0.722 0.445
0.278 0.278 0.555
0.500 0.000 0.000
0.000 0.500 0.000
```

Computed properties:
Energy relative to the lowest polymorph listed for this composition = 0.84 eV/f.u.
Space-group type = Immm, No. 71
Crystal system = orthorhombic
Energy relative to the elements, uncorrected = -0.198 eV per atom